# 1
Below is PmDyScZn after structural relaxation, with properties calculated at the PBE level.

Output
- ΔE_f: -0.151 eV per atom
- N(E_F): 4.14 states/eV/f.u.
- Energy above the most stable polymorph in this dataset: 0.000 eV per atom

Cell lengths 3.4886, 3.4886, 8.5171 Å; angles 90.00, 90.00, 90.00 degrees
Space group P4mm (No. 99)
Inequivalent atoms, fractional coordinates:
1 Pm 0.0000 0.0000 0.0000
2 Dy 0.5000 0.5000 0.6878
3 Sc 0.5000 0.5000 0.2872
4 Zn 0.0000 0.0000 0.4626

=====

# 2
Below is RbPuHg2 after structural relaxation, with properties calculated at the PBE level.

Output
- ΔE_f: 0.067 eV per atom
- N(E_F): 10.66 states/eV/f.u.
- Energy above the most stable polymorph in this dataset: 0.149 eV per atom

Cell lengths 3.8095, 3.8095, 31.9899 Å; angles 90.00, 90.00, 120.00 degrees
Space group R-3m (No. 166, hexagonal axes)
Inequivalent atoms, fractional coordinates:
1 Rb 0.0000 0.0000 0.0000
2 Pu 0.0000 0.0000 0.5000
3 Hg 0.0000 0.0000 0.2417

=====

# 3
Below is Tb3Pr8 after structural relaxation, with properties calculated at the PBE level.

Output
- ΔE_f: 0.438 eV per atom
- N(E_F): 12.00 states/eV/f.u.
- Energy above the most stable polymorph in this dataset: 0.422 eV per atom

Cell lengths 9.9202, 9.9202, 13.9391 Å; angles 90.00, 90.00, 120.00 degrees
Space group R-3 (No. 148, hexagonal axes)
Inequivalent atoms, fractional coordinates:
1 Tb 0.0000 0.5000 0.0000
2 Pr 0.0000 0.0000 0.3860
3 Pr 0.0350 0.2283 0.1144

=====

# 4
Below is ZnPdRh after structural relaxation, with properties calculated at the PBE level.

Output
- ΔE_f: -0.191 eV per atom
- N(E_F): 3.72 states/eV/f.u.
- Energy above the most stable polymorph in this dataset: 0.072 eV per atom

Cell lengths 2.8168, 2.8168, 22.7157 Å; angles 90.00, 90.00, 90.00 degrees
Space group I4/mmm (No. 139)
Inequivalent atoms, fractional coordinates:
1 Zn 0.0000 0.0000 0.1324
2 Pd 0.0000 0.0000 0.4423
3 Rh 0.0000 0.0000 0.2899

=====

# 5
Below is Si2CI after structural relaxation, with properties calculated at the PBE level.

Output
- N(E_F): 2.13 states/eV/f.u.
- Raw formation energy: 8.158 eV per formula unit
- Energy above the most stable polymorph in this dataset: 1.219 eV per atom

Cell lengths 6.5252, 6.5252, 6.5252 Å; angles 90.00, 90.00, 90.00 degrees
Space group Fm-3m (No. 225)
Inequivalent atoms, fractional coordinates:
1 Si 0.2500 0.2500 0.2500
2 C 0.0000 0.0000 0.0000
3 I 0.0000 0.0000 0.5000

=====

# 6
Below is CoAg2Br after structural relaxation, with properties calculated at the PBE level.

Output
- N(E_F): 4.00 states/eV/f.u.
- Raw formation energy: 2.446 eV per formula unit
- Energy above the most stable polymorph in this dataset: 0.336 eV per atom

Cell lengths 5.4786, 8.8973, 3.0709 Å; angles 90.00, 90.00, 90.00 degrees
Space group Cmmm (No. 65)
Inequivalent atoms, fractional coordinates:
1 Co 0.0000 0.0000 0.0000
2 Ag 0.2500 0.2500 0.5000
3 Br 0.0000 0.5000 0.0000

=====

# 7
Below is CoPdRu2Se after structural relaxation, with properties calculated at the PBE level.

Output
- N(E_F): 6.92 states/eV/f.u.
- Raw formation energy: 5.519 eV per formula unit

Cell lengths 4.5017, 4.5017, 4.6159 Å; angles 90.00, 90.00, 90.00 degrees
Space group P4/mmm (No. 123)
Inequivalent atoms, fractional coordinates:
1 Co 0.0000 0.0000 0.0000
2 Pd 0.5000 0.5000 0.0000
3 Ru 0.0000 0.5000 0.5000
4 Se 0.5000 0.5000 0.5000

=====

# 8
Below is Pm3PrHo5 after structural relaxation, with properties calculated at the PBE level.

Output
- ΔE_f: 0.252 eV per atom
- N(E_F): 9.81 states/eV/f.u.
- Energy above the most stable polymorph in this dataset: 0.000 eV per atom

Cell lengths 8.6950, 8.6950, 15.6147 Å; angles 90.00, 90.00, 90.00 degrees
Space group I4/mcm (No. 140)
Inequivalent atoms, fractional coordinates:
1 Pm 0.0000 0.0000 0.2500
2 Pm 0.1176 0.3824 0.0000
3 Pr 0.0000 0.5000 0.2500
4 Ho 0.0000 0.0000 0.0000
5 Ho 0.2080 0.2920 0.3634

=====

# 9
Below is Sc4Hg2Pb after structural relaxation, with properties calculated at the PBE level.

Output
- ΔE_f: -0.227 eV per atom
- N(E_F): 8.85 states/eV/f.u.

Cell lengths 4.8925, 4.8925, 24.8713 Å; angles 90.00, 90.00, 120.00 degrees
Space group R-3m (No. 166, hexagonal axes)
Inequivalent atoms, fractional coordinates:
1 Sc 0.0000 0.0000 0.1170
2 Sc 0.0000 0.0000 0.3712
3 Hg 0.0000 0.0000 0.2576
4 Pb 0.0000 0.0000 0.5000

=====

# 10
Below is CaCeHo2Bi4 after structural relaxation, with properties calculated at the PBE level.

Output
- ΔE_f: -0.801 eV per atom
- N(E_F): 5.25 states/eV/f.u.

Cell lengths 7.8076, 4.5313, 7.8685 Å; angles 90.00, 109.20, 90.00 degrees
Space group P2/m (No. 10)
Inequivalent atoms, fractional coordinates:
1 Ca 0.0000 0.0000 0.0000
2 Ce 0.5000 0.5000 0.0000
3 Ho 0.0000 0.5000 0.5000
4 Ho 0.5000 0.0000 0.5000
5 Bi 0.2496 0.0000 0.7439
6 Bi 0.2557 0.5000 0.2572

=====

# 11
Below is K2GeI4 after structural relaxation, with properties calculated at the PBE level.

Output
- Raw formation energy: -6.549 eV per formula unit
- Energy above the most stable polymorph in this dataset: 0.011 eV per atom

Cell lengths 5.9037, 5.9037, 17.9836 Å; angles 90.00, 90.00, 90.00 degrees
Space group I4/mmm (No. 139)
Inequivalent atoms, fractional coordinates:
1 K 0.0000 0.0000 0.1374
2 Ge 0.0000 0.0000 0.5000
3 I 0.0000 0.0000 0.3324
4 I 0.0000 0.5000 0.0000

=====

# 12
Below is LiZn2Re after structural relaxation, with properties calculated at the PBE level.

Output
- ΔE_f: 0.210 eV per atom
- N(E_F): 2.31 states/eV/f.u.
- Energy above the most stable polymorph in this dataset: 0.220 eV per atom

Cell lengths 2.6056, 4.2898, 5.2323 Å; angles 90.00, 90.00, 90.00 degrees
Space group Pmm2 (No. 25)
Inequivalent atoms, fractional coordinates:
1 Li 0.0000 0.0000 0.0000
2 Zn 0.0000 0.0000 0.4692
3 Zn 0.5000 0.5000 0.7809
4 Re 0.5000 0.5000 0.2767

=====

# 13
Below is TaZnIn2Pb after structural relaxation, with properties calculated at the PBE level.

Output
- ΔE_f: 0.689 eV per atom
- N(E_F): 3.20 states/eV/f.u.

Cell lengths 5.4027, 5.4027, 5.0973 Å; angles 90.00, 90.00, 90.00 degrees
Space group P4/mmm (No. 123)
Inequivalent atoms, fractional coordinates:
1 Ta 0.0000 0.0000 0.0000
2 Zn 0.0000 0.0000 0.5000
3 In 0.0000 0.5000 0.0000
4 Pb 0.5000 0.5000 0.5000

=====

# 14
Below is HfBPRhCl after structural relaxation, with properties calculated at the PBE level.

Output
- N(E_F): 0.41 states/eV/f.u.
- Raw formation energy: -2.655 eV per formula unit
- Energy above the most stable polymorph in this dataset: 0.104 eV per atom

Cell lengths 3.2723, 4.6377, 6.9703 Å; angles 84.76, 83.36, 69.37 degrees
Space group P1 (No. 1)
Inequivalent atoms, fractional coordinates:
1 Hf 0.0000 0.0000 0.0000
2 B 0.2928 0.4105 0.0083
3 P 0.6865 0.5490 0.1582
4 Rh 0.7542 0.5843 0.8112
5 Cl 0.0785 0.0258 0.6359

=====

# 15
Below is RbLiGaF6 after structural relaxation, with properties calculated at the PBE level.

Output
- N(E_F): 4.56 states/eV/f.u.
- Raw formation energy: -21.949 eV per formula unit

Cell lengths 6.8893, 7.3785, 10.4445 Å; angles 90.00, 90.00, 90.00 degrees
Space group Imma (No. 74)
Inequivalent atoms, fractional coordinates:
1 Rb 0.0000 0.2500 0.1316
2 Li 0.2500 0.2500 0.7500
3 Ga 0.0000 0.0000 0.5000
4 F 0.0000 0.2500 0.4353
5 F 0.0000 0.2500 0.8585
6 F 0.1924 0.0486 0.6248

=====

# 16
Below is Pm3GeSeCl after structural relaxation, with properties calculated at the PBE level.

Output
- N(E_F): 2.47 states/eV/f.u.
- Raw formation energy: -7.886 eV per formula unit

Cell lengths 8.5761, 4.1675, 10.1746 Å; angles 90.00, 91.47, 90.00 degrees
Space group P2_1/m (No. 11)
Inequivalent atoms, fractional coordinates:
1 Pm 0.1192 0.2500 0.3538
2 Pm 0.1601 0.2500 0.9238
3 Pm 0.3729 0.7500 0.6371
4 Ge 0.1279 0.2500 0.6451
5 Se 0.3732 0.7500 0.3443
6 Cl 0.3759 0.7500 0.9189

=====

# 17
Below is YPuCu2 after structural relaxation, with properties calculated at the PBE level.

Output
- ΔE_f: -0.058 eV per atom
- N(E_F): 8.32 states/eV/f.u.
- Energy above the most stable polymorph in this dataset: 0.000 eV per atom

Cell lengths 3.4300, 3.4300, 7.1082 Å; angles 90.00, 90.00, 90.00 degrees
Space group P4/mmm (No. 123)
Inequivalent atoms, fractional coordinates:
1 Y 0.0000 0.0000 0.0000
2 Pu 0.0000 0.0000 0.5000
3 Cu 0.5000 0.5000 0.2403

=====

# 18
Below is UCoNi2As2 after structural relaxation, with properties calculated at the PBE level.

Output
- ΔE_f: -0.322 eV per atom
- N(E_F): 6.82 states/eV/f.u.

Cell lengths 3.6908, 7.1332, 7.1767 Å; angles 90.00, 90.00, 90.00 degrees
Space group Pmc2_1 (No. 26)
Inequivalent atoms, fractional coordinates:
1 U 0.0000 0.0189 0.0000
2 Co 0.5000 0.0934 0.2549
3 Ni 0.0000 0.3724 0.6034
4 Ni 0.5000 0.3704 0.0593
5 As 0.0000 0.3397 0.2778
6 As 0.5000 0.2447 0.7521

=====

# 19
Below is TiP2CS after structural relaxation, with properties calculated at the PBE level.

Output
- N(E_F): 3.27 states/eV/f.u.
- Raw formation energy: 3.477 eV per formula unit
- Energy above the most stable polymorph in this dataset: 0.078 eV per atom

Cell lengths 3.9977, 3.9977, 4.1685 Å; angles 90.00, 90.00, 90.00 degrees
Space group P4/mmm (No. 123)
Inequivalent atoms, fractional coordinates:
1 Ti 0.0000 0.0000 0.0000
2 P 0.0000 0.5000 0.5000
3 C 0.5000 0.5000 0.5000
4 S 0.5000 0.5000 0.0000

=====

# 20
Below is YZnPb after structural relaxation, with properties calculated at the PBE level.

Output
- ΔE_f: -0.268 eV per atom
- N(E_F): 2.28 states/eV/f.u.

Cell lengths 4.4655, 4.4655, 27.5062 Å; angles 90.00, 90.00, 120.00 degrees
Space group R-3m (No. 166, hexagonal axes)
Inequivalent atoms, fractional coordinates:
1 Y 0.0000 0.0000 0.0635
2 Zn 0.0000 0.0000 0.3361
3 Pb 0.0000 0.0000 0.1968

=====

# 21
Below is CuHg2Br after structural relaxation, with properties calculated at the PBE level.

Output
- N(E_F): 0.57 states/eV/f.u.
- Raw formation energy: 0.076 eV per formula unit
- Energy above the most stable polymorph in this dataset: 0.112 eV per atom

Cell lengths 3.5648, 3.6314, 19.2505 Å; angles 90.00, 90.00, 90.00 degrees
Space group Immm (No. 71)
Inequivalent atoms, fractional coordinates:
1 Cu 0.0000 0.0000 0.0000
2 Hg 0.0000 0.5000 0.3132
3 Br 0.0000 0.0000 0.5000

=====

# 22
Below is AlB2P after structural relaxation, with properties calculated at the PBE level.

Output
- ΔE_f: 0.079 eV per atom
- N(E_F): 1.01 states/eV/f.u.
- Energy above the most stable polymorph in this dataset: 0.060 eV per atom

Cell lengths 9.7875, 3.0737, 6.4677 Å; angles 90.00, 94.96, 90.00 degrees
Space group Cm (No. 8)
Inequivalent atoms, fractional coordinates:
1 Al 0.0000 0.0000 0.0000
2 Al 0.0818 0.5000 0.6028
3 B 0.2362 0.0000 0.6446
4 B 0.2826 0.5000 0.8153
5 B 0.3678 0.0000 0.4771
6 B 0.3894 0.0000 0.7726
7 P 0.1895 0.5000 0.0728
8 P 0.3774 0.5000 0.3054

=====

# 23
Below is Er5Al2Sn2 after structural relaxation, with properties calculated at the PBE level.

Output
- ΔE_f: -0.511 eV per atom
- N(E_F): 6.35 states/eV/f.u.

Cell lengths 15.4153, 7.9770, 7.8456 Å; angles 90.00, 90.00, 90.00 degrees
Space group Cmce (No. 64)
Inequivalent atoms, fractional coordinates:
1 Er 0.0000 0.0000 0.0000
2 Er 0.1352 0.1777 0.3247
3 Al 0.0000 0.1186 0.6193
4 Sn 0.2094 0.0000 0.0000

=====

Number 1: magnetization 0.000 μB/cell, raw total energy -4.3907 eV/atom. Number 2: magnetization 19.048 μB/cell, raw total energy -3.9084 eV/atom. Number 3: magnetization 0.000 μB/cell, raw total energy -4.3013 eV/atom. Number 4: magnetization 1.365 μB/cell, raw total energy -4.7970 eV/atom. Number 5: magnetization 0.000 μB/cell, raw total energy -3.3655 eV/atom. Number 6: magnetization 3.203 μB/cell, raw total energy -3.0089 eV/atom. Number 7: magnetization 3.390 μB/cell, raw total energy -5.7632 eV/atom. Number 8: magnetization 0.003 μB/cell, raw total energy -4.4054 eV/atom. Number 9: magnetization 0.000 μB/cell, raw total energy -4.4613 eV/atom. Number 10: magnetization 0.354 μB/cell, raw total energy -4.8779 eV/atom. Number 11: magnetization 0.000 μB/cell, raw total energy -2.7945 eV/atom. Number 12: magnetization 0.000 μB/cell, raw total energy -4.0177 eV/atom. Number 13: magnetization 0.000 μB/cell, raw total energy -3.7732 eV/atom. Number 14: magnetization 0.000 μB/cell, raw total energy -6.7788 eV/atom. Number 15: magnetization 4.021 μB/cell, raw total energy -4.3427 eV/atom. Number 16: magnetization 2.446 μB/cell, raw total energy -5.3477 eV/atom. Number 17: magnetization 5.555 μB/cell, raw total energy -7.3051 eV/atom. Number 18: magnetization 1.793 μB/cell, raw total energy -6.8645 eV/atom. Number 19: magnetization 0.000 μB/cell, raw total energy -5.7179 eV/atom. Number 20: magnetization 0.000 μB/cell, raw total energy -4.0836 eV/atom. Number 21: magnetization 0.000 μB/cell, raw total energy -1.5741 eV/atom. Number 22: magnetization 0.000 μB/cell, raw total energy -5.5483 eV/atom. Number 23: magnetization 0.000 μB/cell, raw total energy -4.7670 eV/atom.